# 1
VASP calculation (PBE) on a relaxed Rb3Ba2S2Br3 crystal.

The space group is I4/mmm (No. 139) and the conventional cell measures 5.7393, 5.7393 and 29.9778 Å, with angles of 90.00, 90.00 and 90.00 degrees. The asymmetric unit holds Rb at (0.0000, 0.0000, 0.0000), Rb at (0.0000, 0.0000, 0.3903), Ba at (0.0000, 0.5000, 0.2500), S at (0.0000, 0.0000, 0.2837), Br at (0.0000, 0.0000, 0.1176) and Br at (0.0000, 0.0000, 0.5000).

As for the theoretical density: 2.81 g/cm3. Its formation energy (no corrections) is -1.662 eV per atom.

=====

# 2
VASP calculation (PBE) on a relaxed KCu2Os crystal.

The space group is I-4m2 (No. 119) and the conventional cell measures 3.8233, 3.8233 and 9.3020 Å, with angles of 90.00, 90.00 and 90.00 degrees. The asymmetric unit holds K at (0.0000, 0.0000, 0.0000), Cu at (0.0000, 0.0000, 0.5000), Cu at (0.0000, 0.5000, 0.2500) and Os at (0.0000, 0.5000, 0.7500).

As for the theoretical density: 8.71 g/cm3. Its energy relative to the elements is 1.369 eV per atom. The energy above the lowest structure with this stoichiometry is 3.00 eV/f.u.

=====

# 3
VASP calculation (PBE) on a relaxed In3PAu crystal.

The space group is Pm-3m (No. 221) and the conventional cell measures 5.2640, 5.2640 and 5.2640 Å, with angles of 90.00, 90.00 and 90.00 degrees. The asymmetric unit holds In at (0.0000, 0.0000, 0.5000), P at (0.5000, 0.5000, 0.5000) and Au at (0.0000, 0.0000, 0.0000).

As for the theoretical density: 6.52 g/cm3. Its energy relative to the elements is 0.402 eV per atom. The energy above the lowest structure with this stoichiometry is 0.19 eV/f.u.

=====

Looking at magnetic moment for the records above, in order, we have 0.00; 0.78; 0.00 μB/f.u..
Looking at DOS at the Fermi energy for the records above, in order, we have 0.0; 7.4; 4.7 states/eV/cell.